No. 1
VASP calculation (PBE) on crystalline GdPaCu at its relaxed geometry.

Cell lengths 6.705, 6.705, 6.705 Å; angles 90.00, 90.00, 90.00 degrees
Fractional coordinates of all 12 atoms:
Gd: 0.000 0.000 0.000
Gd: 0.000 0.500 0.500
Gd: 0.500 0.000 0.500
Gd: 0.500 0.500 0.000
Pa: 0.000 0.000 0.500
Pa: 0.000 0.500 0.000
Pa: 0.500 0.000 0.000
Pa: 0.500 0.500 0.500
Cu: 0.250 0.250 0.250
Cu: 0.250 0.750 0.750
Cu: 0.750 0.250 0.750
Cu: 0.750 0.750 0.250

The energy above the most stable polymorph in this dataset is 331 meV/atom. The total energy is -65.9 eV for the cell shown. The calculation puts the energy of formation from the pure elements at 134 kJ/mol of formula units.

---

No. 2
VASP calculation (PBE) on crystalline AlW3C2 at its relaxed geometry.

Cell lengths 3.066, 3.066, 18.647 Å; angles 90.00, 90.00, 120.00 degrees
Fractional coordinates of all 12 atoms:
Al: 0.000 0.000 0.250
Al: 0.000 0.000 0.750
W: 0.000 0.000 0.000
W: 0.000 0.000 0.500
W: 0.333 0.667 0.132
W: 0.333 0.667 0.368
W: 0.667 0.333 0.632
W: 0.667 0.333 0.868
C: 0.333 0.667 0.570
C: 0.333 0.667 0.930
C: 0.667 0.333 0.070
C: 0.667 0.333 0.430

The total energy is -120.3 eV for the cell shown.

---

No. 3
VASP calculation (PBE) on crystalline TlTcSb2 at its relaxed geometry.

Cell lengths 7.098, 7.098, 7.098 Å; angles 90.00, 90.00, 90.00 degrees
Fractional coordinates of all 16 atoms:
Tl: 0.000 0.000 0.000
Tl: 0.000 0.500 0.500
Tl: 0.500 0.000 0.500
Tl: 0.500 0.500 0.000
Tc: 0.250 0.250 0.750
Tc: 0.250 0.750 0.250
Tc: 0.750 0.250 0.250
Tc: 0.750 0.750 0.750
Sb: 0.000 0.000 0.500
Sb: 0.000 0.500 0.000
Sb: 0.250 0.250 0.250
Sb: 0.250 0.750 0.750
Sb: 0.500 0.000 0.000
Sb: 0.500 0.500 0.500
Sb: 0.750 0.250 0.750
Sb: 0.750 0.750 0.250

The total energy is -72.1 eV for the cell shown.

---

No. 4
VASP calculation (PBE) on crystalline Cs2FeCuCl6 at its relaxed geometry.

Cell lengths 7.078, 7.078, 7.078 Å; angles 60.00, 60.00, 60.00 degrees
Fractional coordinates of all 10 atoms:
Cs: 0.250 0.250 0.250
Cs: 0.750 0.750 0.750
Fe: 0.000 0.000 0.000
Cu: 0.500 0.500 0.500
Cl: 0.244 0.244 0.756
Cl: 0.244 0.756 0.244
Cl: 0.244 0.756 0.756
Cl: 0.756 0.244 0.244
Cl: 0.756 0.244 0.756
Cl: 0.756 0.756 0.244

The energy above the most stable polymorph in this dataset is 11 meV/atom. The total energy is -36.6 eV for the cell shown.

---

No. 5
VASP calculation (PBE) on crystalline LiTb3ScO8 at its relaxed geometry.

Cell lengths 6.750, 6.750, 4.554 Å; angles 90.00, 90.00, 120.00 degrees
Fractional coordinates of all 13 atoms:
Li: 0.000 0.000 0.000
Tb: 0.170 0.341 0.566
Tb: 0.170 0.830 0.566
Tb: 0.659 0.830 0.566
Sc: 0.667 0.333 0.059
O: 0.000 0.000 0.379
O: 0.327 0.163 0.850
O: 0.333 0.667 0.807
O: 0.518 0.036 0.334
O: 0.518 0.482 0.334
O: 0.837 0.163 0.850
O: 0.837 0.673 0.850
O: 0.964 0.482 0.334

The total energy is -94.6 eV for the cell shown.

---

No. 6
VASP calculation (PBE) on crystalline CuTePbF at its relaxed geometry.

Cell lengths 6.756, 6.796, 7.560 Å; angles 90.00, 90.00, 90.00 degrees
Fractional coordinates of all 16 atoms:
Cu: 0.145 0.098 0.369
Cu: 0.355 0.902 0.869
Cu: 0.645 0.402 0.631
Cu: 0.855 0.598 0.131
Te: 0.124 0.858 0.123
Te: 0.376 0.142 0.623
Te: 0.624 0.642 0.877
Te: 0.876 0.358 0.377
Pb: 0.145 0.597 0.649
Pb: 0.355 0.403 0.149
Pb: 0.645 0.903 0.351
Pb: 0.855 0.097 0.851
F: 0.086 0.381 0.925
F: 0.414 0.619 0.425
F: 0.586 0.119 0.075
F: 0.914 0.881 0.575

The energy above the most stable polymorph in this dataset is 80 meV/atom. The total energy is -63.8 eV for the cell shown.

---

No. 7
VASP calculation (PBE) on crystalline Cu2Ag at its relaxed geometry.

Cell lengths 4.695, 4.695, 8.166 Å; angles 107.24, 107.24, 47.67 degrees
Fractional coordinates of all 9 atoms:
Cu: 0.000 0.000 0.000
Cu: 0.004 0.004 0.330
Cu: 0.021 0.021 0.699
Cu: 0.337 0.337 0.105
Cu: 0.355 0.355 0.804
Cu: 0.678 0.678 0.900
Ag: 0.351 0.351 0.455
Ag: 0.667 0.667 0.217
Ag: 0.685 0.685 0.582

The energy above the most stable polymorph in this dataset is 37 meV/atom. The total energy is -30.0 eV for the cell shown. The calculation puts the energy of formation from the pure elements at 24 kJ/mol of formula units.

---

No. 8
VASP calculation (PBE) on crystalline NiBiMoW at its relaxed geometry.

Cell lengths 6.456, 6.456, 6.456 Å; angles 90.00, 90.00, 90.00 degrees
Fractional coordinates of all 16 atoms:
Ni: 0.000 0.000 0.000
Ni: 0.000 0.500 0.500
Ni: 0.500 0.000 0.500
Ni: 0.500 0.500 0.000
Bi: 0.250 0.250 0.750
Bi: 0.250 0.750 0.250
Bi: 0.750 0.250 0.250
Bi: 0.750 0.750 0.750
Mo: 0.000 0.000 0.500
Mo: 0.000 0.500 0.000
Mo: 0.500 0.000 0.000
Mo: 0.500 0.500 0.500
W: 0.250 0.250 0.250
W: 0.250 0.750 0.750
W: 0.750 0.250 0.750
W: 0.750 0.750 0.250

The total energy is -122.3 eV for the cell shown.